1.
Re2RuPb after structural relaxation, computed with PBE-GGA.

The electronic total energy is -8.901 eV/atom. Its energy relative to the elements is 0.57 eV/atom.

a = 9.350 Å, b = 9.350 Å, c = 9.350 Å
α = 18.02°, β = 18.02°, γ = 18.02°
Element x y z (fractional)
1 Re 0.000 0.000 0.000
2 Re 0.258 0.258 0.258
3 Ru 0.742 0.742 0.742
4 Pb 0.498 0.498 0.498



2.
LiTiGe2 after structural relaxation, computed with PBE-GGA.

The electronic total energy is -4.800 eV/atom. Its energy relative to the elements is -0.04 eV/atom.

a = 5.609 Å, b = 5.609 Å, c = 5.609 Å
α = 104.67°, β = 104.67°, γ = 119.57°
Element x y z (fractional)
1 Li 0.000 0.000 0.000
2 Li 0.750 0.250 0.500
3 Ti 0.250 0.750 0.500
4 Ti 0.500 0.500 0.000
5 Ge 0.105 0.625 0.980
6 Ge 0.375 0.355 0.480
7 Ge 0.645 0.125 0.020
8 Ge 0.875 0.895 0.520



3.
KIrSe2 after structural relaxation, computed with PBE-GGA.

The uncorrected formation energy comes out at -623 meV per atom. The electronic total energy is -4.855 eV/atom.

a = 7.503 Å, b = 7.503 Å, c = 7.503 Å
α = 30.21°, β = 30.21°, γ = 30.21°
Element x y z (fractional)
1 K 0.000 0.000 0.000
2 Ir 0.169 0.169 0.169
3 Se 0.557 0.557 0.557
4 Se 0.780 0.780 0.780



4.
BiBMo3 after structural relaxation, computed with PBE-GGA.

The electronic total energy is -8.163 eV/atom. Its energy relative to the elements is 0.45 eV/atom.

a = 4.321 Å, b = 4.321 Å, c = 4.321 Å
α = 90.00°, β = 90.00°, γ = 90.00°
Element x y z (fractional)
1 Bi 0.000 0.000 0.000
2 B 0.500 0.500 0.500
3 Mo 0.000 0.500 0.500
4 Mo 0.500 0.000 0.500
5 Mo 0.500 0.500 0.000



5.
CeTeCl after structural relaxation, computed with PBE-GGA.

The uncorrected formation energy comes out at -1602 meV per atom. The electronic total energy is -5.243 eV/atom.

a = 5.183 Å, b = 5.183 Å, c = 5.183 Å
α = 60.00°, β = 60.00°, γ = 60.00°
Element x y z (fractional)
1 Ce 0.000 0.000 0.000
2 Te 0.750 0.750 0.750
3 Cl 0.250 0.250 0.250



6.
DyTmAgRu after structural relaxation, computed with PBE-GGA.

The electronic total energy is -5.741 eV/atom. Its energy relative to the elements is -0.44 eV/atom.

a = 3.396 Å, b = 3.396 Å, c = 7.469 Å
α = 90.00°, β = 90.00°, γ = 90.00°
Element x y z (fractional)
1 Dy 0.000 0.000 0.000
2 Tm 0.000 0.000 0.556
3 Ag 0.500 0.500 0.285
4 Ru 0.500 0.500 0.774



7.
SrB after structural relaxation, computed with PBE-GGA.

The electronic total energy is -4.173 eV/atom. Its energy relative to the elements is 0.01 eV/atom.

a = 8.651 Å, b = 6.138 Å, c = 7.653 Å
α = 90.00°, β = 90.00°, γ = 90.00°
Element x y z (fractional)
1 Sr 0.098 0.250 0.203
2 Sr 0.199 0.250 0.716
3 Sr 0.301 0.750 0.216
4 Sr 0.402 0.750 0.703
5 Sr 0.598 0.250 0.297
6 Sr 0.699 0.250 0.784
7 Sr 0.801 0.750 0.284
8 Sr 0.902 0.750 0.797
9 B 0.043 0.616 0.492
10 B 0.043 0.884 0.492
11 B 0.457 0.116 0.992
12 B 0.457 0.384 0.992
13 B 0.543 0.616 0.008
14 B 0.543 0.884 0.008
15 B 0.957 0.116 0.508
16 B 0.957 0.384 0.508



8.
YCu3S after structural relaxation, computed with PBE-GGA.

The uncorrected formation energy comes out at 1443 meV per atom. The electronic total energy is -3.133 eV/atom.

a = 5.098 Å, b = 5.098 Å, c = 5.098 Å
α = 90.00°, β = 90.00°, γ = 90.00°
Element x y z (fractional)
1 Y 0.000 0.000 0.000
2 Cu 0.000 0.000 0.500
3 Cu 0.000 0.500 0.000
4 Cu 0.500 0.000 0.000
5 S 0.500 0.500 0.500



9.
NaAlGeS4 after structural relaxation, computed with PBE-GGA.

The uncorrected formation energy comes out at -811 meV per atom. The electronic total energy is -4.552 eV/atom.

a = 7.028 Å, b = 7.028 Å, c = 7.233 Å
α = 90.00°, β = 90.00°, γ = 111.84°
Element x y z (fractional)
1 Na 0.000 0.000 0.000
2 Na 0.000 0.000 0.500
3 Al 0.371 0.629 0.750
4 Al 0.629 0.371 0.250
5 Ge 0.367 0.633 0.250
6 Ge 0.633 0.367 0.750
7 S 0.252 0.748 0.001
8 S 0.252 0.748 0.499
9 S 0.284 0.290 0.250
10 S 0.290 0.284 0.750
11 S 0.710 0.716 0.250
12 S 0.716 0.710 0.750
13 S 0.748 0.252 0.501
14 S 0.748 0.252 0.999



10.
NdHo2Zn2Sn2 after structural relaxation, computed with PBE-GGA.

The electronic total energy is -3.842 eV/atom. Its energy relative to the elements is -0.35 eV/atom.

a = 9.677 Å, b = 9.677 Å, c = 9.677 Å
α = 28.00°, β = 28.00°, γ = 28.00°
Element x y z (fractional)
1 Nd 0.000 0.000 0.000
2 Ho 0.132 0.132 0.132
3 Ho 0.868 0.868 0.868
4 Zn 0.423 0.423 0.423
5 Zn 0.577 0.577 0.577
6 Sn 0.265 0.265 0.265
7 Sn 0.735 0.735 0.735



11.
Mn2ZnSb after structural relaxation, computed with PBE-GGA.

The uncorrected formation energy comes out at 346 meV per atom. The electronic total energy is -5.588 eV/atom.

a = 8.449 Å, b = 8.449 Å, c = 8.449 Å
α = 21.50°, β = 21.50°, γ = 21.50°
Element x y z (fractional)
1 Mn 0.000 0.000 0.000
2 Mn 0.267 0.267 0.267
3 Zn 0.519 0.519 0.519
4 Sb 0.753 0.753 0.753



12.
Zr2CoGePb after structural relaxation, computed with PBE-GGA.

The electronic total energy is -4.731 eV/atom. Its energy relative to the elements is 1.77 eV/atom.

a = 5.414 Å, b = 5.414 Å, c = 5.138 Å
α = 90.00°, β = 90.00°, γ = 90.00°
Element x y z (fractional)
1 Zr 0.000 0.500 0.000
2 Zr 0.500 0.000 0.000
3 Co 0.000 0.000 0.500
4 Ge 0.500 0.500 0.500
5 Pb 0.500 0.500 0.000



13.
Be2Cd after structural relaxation, computed with PBE-GGA.

The electronic total energy is -2.308 eV/atom. Its energy relative to the elements is 0.48 eV/atom.

a = 7.031 Å, b = 7.031 Å, c = 3.987 Å
α = 90.00°, β = 90.00°, γ = 156.95°
Element x y z (fractional)
1 Be 0.052 0.948 0.750
2 Be 0.274 0.726 0.250
3 Be 0.726 0.274 0.750
4 Be 0.948 0.052 0.250
5 Cd 0.387 0.613 0.750
6 Cd 0.613 0.387 0.250



14.
Ba4Sr2Ca after structural relaxation, computed with PBE-GGA.

The electronic total energy is -1.502 eV/atom. Its energy relative to the elements is 0.36 eV/atom.

a = 11.522 Å, b = 11.522 Å, c = 11.522 Å
α = 145.83°, β = 145.83°, γ = 49.10°
Element x y z (fractional)
1 Ba 0.000 0.500 0.500
2 Ba 0.179 0.179 0.000
3 Ba 0.500 0.000 0.500
4 Ba 0.821 0.821 0.000
5 Sr 0.388 0.388 0.000
6 Sr 0.612 0.612 0.000
7 Ca 0.000 0.000 0.000



15.
PmNd2ErS6 after structural relaxation, computed with PBE-GGA.

The uncorrected formation energy comes out at -2025 meV per atom. The electronic total energy is -6.387 eV/atom.

a = 7.469 Å, b = 7.469 Å, c = 7.469 Å
α = 56.74°, β = 56.74°, γ = 56.74°
Element x y z (fractional)
1 Pm 0.000 0.000 0.000
2 Nd 0.291 0.291 0.291
3 Nd 0.794 0.794 0.794
4 Er 0.497 0.497 0.497
5 S 0.112 0.696 0.391
6 S 0.210 0.607 0.878
7 S 0.391 0.112 0.696
8 S 0.607 0.878 0.210
9 S 0.696 0.391 0.112
10 S 0.878 0.210 0.607



16.
MgW2S2 after structural relaxation, computed with PBE-GGA.

The uncorrected formation energy comes out at 330 meV per atom. The electronic total energy is -6.821 eV/atom.

a = 7.260 Å, b = 7.260 Å, c = 2.885 Å
α = 90.00°, β = 90.00°, γ = 90.00°
Element x y z (fractional)
1 Mg 0.000 0.000 0.000
2 Mg 0.500 0.500 0.000
3 W 0.170 0.330 0.500
4 W 0.330 0.830 0.500
5 W 0.670 0.170 0.500
6 W 0.830 0.670 0.500
7 S 0.136 0.636 0.000
8 S 0.364 0.136 0.000
9 S 0.636 0.864 0.000
10 S 0.864 0.364 0.000



17.
AcTm2O after structural relaxation, computed with PBE-GGA.

The uncorrected formation energy comes out at -636 meV per atom. The electronic total energy is -5.138 eV/atom.

a = 3.291 Å, b = 3.291 Å, c = 8.845 Å
α = 90.00°, β = 90.00°, γ = 90.00°
Element x y z (fractional)
1 Ac 0.000 0.000 0.000
2 Tm 0.500 0.500 0.327
3 Tm 0.500 0.500 0.673
4 O 0.000 0.000 0.500



18.
RbMnCuAg2 after structural relaxation, computed with PBE-GGA.

The electronic total energy is -2.274 eV/atom. Its energy relative to the elements is 1.71 eV/atom.

a = 5.756 Å, b = 5.756 Å, c = 5.380 Å
α = 90.00°, β = 90.00°, γ = 90.00°
Element x y z (fractional)
1 Rb 0.000 0.000 0.000
2 Mn 0.500 0.500 0.500
3 Cu 0.000 0.000 0.500
4 Ag 0.000 0.500 0.000
5 Ag 0.500 0.000 0.000



19.
ScPbF5 after structural relaxation, computed with PBE-GGA.

The uncorrected formation energy comes out at -3288 meV per atom. The electronic total energy is -6.059 eV/atom.

a = 5.999 Å, b = 5.999 Å, c = 8.145 Å
α = 109.72°, β = 109.72°, γ = 72.42°
Element x y z (fractional)
1 Sc 0.000 0.000 0.000
2 Sc 0.000 0.000 0.500
3 Pb 0.467 0.533 0.750
4 Pb 0.533 0.467 0.250
5 F 0.061 0.939 0.750
6 F 0.224 0.229 0.613
7 F 0.229 0.224 0.113
8 F 0.286 0.712 0.037
9 F 0.288 0.714 0.463
10 F 0.712 0.286 0.537
11 F 0.714 0.288 0.963
12 F 0.771 0.776 0.887
13 F 0.776 0.771 0.387
14 F 0.939 0.061 0.250



20.
PmNd2Mg4 after structural relaxation, computed with PBE-GGA.

The electronic total energy is -2.840 eV/atom. Its energy relative to the elements is 0.11 eV/atom.

a = 8.377 Å, b = 8.377 Å, c = 8.377 Å
α = 141.91°, β = 141.91°, γ = 54.97°
Element x y z (fractional)
1 Pm 0.000 0.000 0.000
2 Nd 0.254 0.254 0.000
3 Nd 0.746 0.746 0.000
4 Mg 0.115 0.615 0.500
5 Mg 0.385 0.885 0.500
6 Mg 0.615 0.115 0.500
7 Mg 0.885 0.385 0.500



21.
BaCdTe2 after structural relaxation, computed with PBE-GGA.

The uncorrected formation energy comes out at -825 meV per atom. The electronic total energy is -3.106 eV/atom.

a = 6.079 Å, b = 6.079 Å, c = 6.079 Å
α = 134.48°, β = 111.65°, γ = 86.01°
Element x y z (fractional)
1 Ba 0.000 0.000 0.000
2 Cd 0.500 0.500 0.000
3 Te 0.291 0.791 0.500
4 Te 0.709 0.209 0.500



22.
Tb3Pm2DySe6 after structural relaxation, computed with PBE-GGA.

The uncorrected formation energy comes out at -1790 meV per atom. The electronic total energy is -5.865 eV/atom.

a = 9.222 Å, b = 9.222 Å, c = 8.298 Å
α = 103.16°, β = 103.16°, γ = 25.74°
Element x y z (fractional)
1 Tb 0.000 0.000 0.000
2 Tb 0.331 0.331 0.667
3 Tb 0.669 0.669 0.333
4 Pm 0.332 0.332 0.164
5 Pm 0.668 0.668 0.836
6 Dy 0.000 0.000 0.500
7 Se 0.164 0.164 0.089
8 Se 0.165 0.165 0.576
9 Se 0.497 0.497 0.747
10 Se 0.503 0.503 0.253
11 Se 0.835 0.835 0.424
12 Se 0.836 0.836 0.911



23.
Tb2Y3TmSe6 after structural relaxation, computed with PBE-GGA.

The uncorrected formation energy comes out at -1750 meV per atom. The electronic total energy is -6.253 eV/atom.

a = 9.110 Å, b = 9.110 Å, c = 8.190 Å
α = 102.99°, β = 102.99°, γ = 25.79°
Element x y z (fractional)
1 Tb 0.168 0.168 0.335
2 Tb 0.832 0.832 0.665
3 Y 0.169 0.169 0.833
4 Y 0.500 0.500 0.500
5 Y 0.831 0.831 0.167
6 Tm 0.500 0.500 0.000
7 Se 0.001 0.001 0.755
8 Se 0.334 0.334 0.417
9 Se 0.336 0.336 0.919
10 Se 0.664 0.664 0.081
11 Se 0.666 0.666 0.583
12 Se 0.999 0.999 0.245



24.
SrH8Ru2 after structural relaxation, computed with PBE-GGA.

The electronic total energy is -4.432 eV/atom.

a = 5.299 Å, b = 5.299 Å, c = 3.496 Å
α = 90.37°, β = 90.37°, γ = 117.77°
Element x y z (fractional)
1 Sr 0.000 0.000 0.000
2 H 0.015 0.336 0.502
3 H 0.293 0.707 0.000
4 H 0.336 0.015 0.502
5 H 0.387 0.387 0.670
6 H 0.613 0.613 0.330
7 H 0.664 0.985 0.498
8 H 0.707 0.293 0.000
9 H 0.985 0.664 0.498
10 Ru 0.329 0.671 0.500
11 Ru 0.671 0.329 0.500